Material: TmB4Os
Method: DFT, PBE-GGA
State: relaxed

Cell: 4.672 4.672 4.672 Å, 140.46 110.87 82.68°
Element x y z (fractional)
B (0.914, 0.247, 0.667)
B (0.086, 0.753, 0.333)
B (0.581, 0.247, 0.333)
B (0.419, 0.753, 0.667)
Tm (0.500, 0.500, 0.000)
Os (0.000, 0.000, 0.000)

Properties
offset from the most stable computed form: 0.3986 eV/atom